Record 1
# PBE CoCu2Ge, relaxed
# Calculated volume = 48.2 Å³/f.u.
# Calculated total energy = -4.768 eV/atom
# Total magnetization = 0.00 μB per atom
data_CoCu2Ge
_symmetry_space_group_name_H-M 'F -4 3 m'
_symmetry_Int_Tables_number 216
_symmetry_space_group_name_Hall 'F -4 2 3'
_cell_length_a 5.7757
_cell_length_b 5.7757
_cell_length_c 5.7757
_cell_angle_alpha 90.00
_cell_angle_beta 90.00
_cell_angle_gamma 90.00
loop_
_atom_site_label
_atom_site_type_symbol
_atom_site_fract_x
_atom_site_fract_y
_atom_site_fract_z
Co1 Co 0.0000 0.0000 0.0000
Cu1 Cu 0.0000 0.0000 0.5000
Cu2 Cu 0.2500 0.2500 0.7500
Ge1 Ge 0.2500 0.2500 0.2500

***

Record 2
# PBE HfCoCuGe, relaxed
# ΔE to the lowest computed polymorph = 0.81 eV per formula unit
# Calculated volume = 58.2 Å³/f.u.
# Total magnetization = 0.12 μB per atom
data_HfCoCuGe
_symmetry_space_group_name_H-M 'F -4 3 m'
_symmetry_Int_Tables_number 216
_symmetry_space_group_name_Hall 'F -4 2 3'
_cell_length_a 6.1524
_cell_length_b 6.1524
_cell_length_c 6.1524
_cell_angle_alpha 90.00
_cell_angle_beta 90.00
_cell_angle_gamma 90.00
loop_
_atom_site_label
_atom_site_type_symbol
_atom_site_fract_x
_atom_site_fract_y
_atom_site_fract_z
Hf1 Hf 0.0000 0.0000 0.0000
Co1 Co 0.2500 0.2500 0.7500
Cu1 Cu 0.0000 0.0000 0.5000
Ge1 Ge 0.2500 0.2500 0.2500

***

Record 3
# PBE HfCoCuGe, relaxed
# ΔE to the lowest computed polymorph = 0.00 eV per formula unit
# Calculated volume = 56.5 Å³/f.u.
# Total magnetization = 0.00 μB per atom
data_HfCoCuGe
_symmetry_space_group_name_H-M 'F -4 3 m'
_symmetry_Int_Tables_number 216
_symmetry_space_group_name_Hall 'F -4 2 3'
_cell_length_a 6.0924
_cell_length_b 6.0924
_cell_length_c 6.0924
_cell_angle_alpha 90.00
_cell_angle_beta 90.00
_cell_angle_gamma 90.00
loop_
_atom_site_label
_atom_site_type_symbol
_atom_site_fract_x
_atom_site_fract_y
_atom_site_fract_z
Hf1 Hf 0.0000 0.0000 0.0000
Co1 Co 0.2500 0.2500 0.7500
Cu1 Cu 0.2500 0.2500 0.2500
Ge1 Ge 0.0000 0.0000 0.5000

***

Record 4
# PBE HfCoCuGe, relaxed
# ΔE to the lowest computed polymorph = 0.55 eV per formula unit
# Calculated volume = 57.7 Å³/f.u.
# Total magnetization = 0.06 μB per atom
data_HfCoCuGe
_symmetry_space_group_name_H-M 'F -4 3 m'
_symmetry_Int_Tables_number 216
_symmetry_space_group_name_Hall 'F -4 2 3'
_cell_length_a 6.1355
_cell_length_b 6.1355
_cell_length_c 6.1355
_cell_angle_alpha 90.00
_cell_angle_beta 90.00
_cell_angle_gamma 90.00
loop_
_atom_site_label
_atom_site_type_symbol
_atom_site_fract_x
_atom_site_fract_y
_atom_site_fract_z
Hf1 Hf 0.0000 0.0000 0.0000
Co1 Co 0.0000 0.0000 0.5000
Cu1 Cu 0.2500 0.2500 0.7500
Ge1 Ge 0.2500 0.2500 0.2500

***

Record 5
# PBE CoCuHgGe, relaxed
# ΔE to the lowest computed polymorph = 0.00 eV per formula unit
# Calculated volume = 60.0 Å³/f.u.
# Total magnetization = 0.17 μB per atom
data_CoCuHgGe
_symmetry_space_group_name_H-M 'F -4 3 m'
_symmetry_Int_Tables_number 216
_symmetry_space_group_name_Hall 'F -4 2 3'
_cell_length_a 6.2137
_cell_length_b 6.2137
_cell_length_c 6.2137
_cell_angle_alpha 90.00
_cell_angle_beta 90.00
_cell_angle_gamma 90.00
loop_
_atom_site_label
_atom_site_type_symbol
_atom_site_fract_x
_atom_site_fract_y
_atom_site_fract_z
Co1 Co 0.0000 0.0000 0.0000
Cu1 Cu 0.0000 0.0000 0.5000
Hg1 Hg 0.2500 0.2500 0.2500
Ge1 Ge 0.2500 0.2500 0.7500

***

Record 6
# PBE CoCuGeIr, relaxed
# ΔE to the lowest computed polymorph = 0.00 eV per formula unit
# Calculated volume = 50.9 Å³/f.u.
# Total magnetization = 0.01 μB per atom
data_CoCuGeIr
_symmetry_space_group_name_H-M 'F -4 3 m'
_symmetry_Int_Tables_number 216
_symmetry_space_group_name_Hall 'F -4 2 3'
_cell_length_a 5.8843
_cell_length_b 5.8843
_cell_length_c 5.8843
_cell_angle_alpha 90.00
_cell_angle_beta 90.00
_cell_angle_gamma 90.00
loop_
_atom_site_label
_atom_site_type_symbol
_atom_site_fract_x
_atom_site_fract_y
_atom_site_fract_z
Co1 Co 0.0000 0.0000 0.0000
Cu1 Cu 0.2500 0.2500 0.2500
Ge1 Ge 0.2500 0.2500 0.7500
Ir1 Ir 0.0000 0.0000 0.5000

***

Record 7
# PBE LiCoCu4Ge2, relaxed
# Calculated volume = 99.0 Å³/f.u.
# Calculated total energy = -4.147 eV/atom
# Total magnetization = 0.17 μB per atom
data_LiCoCu4Ge2
_symmetry_space_group_name_H-M 'P 4/m m m'
_symmetry_Int_Tables_number 123
_symmetry_space_group_name_Hall '-P 4 2'
_cell_length_a 4.0828
_cell_length_b 4.0828
_cell_length_c 5.9368
_cell_angle_alpha 90.00
_cell_angle_beta 90.00
_cell_angle_gamma 90.00
loop_
_atom_site_label
_atom_site_type_symbol
_atom_site_fract_x
_atom_site_fract_y
_atom_site_fract_z
Li1 Li 0.0000 0.0000 0.0000
Co1 Co 0.5000 0.5000 0.5000
Cu1 Cu 0.0000 0.5000 0.2469
Ge1 Ge 0.0000 0.0000 0.5000
Ge2 Ge 0.5000 0.5000 0.0000

***

Record 8
# PBE MgCoCu4Ge2, relaxed
# Calculated volume = 107.6 Å³/f.u.
# Calculated total energy = -4.010 eV/atom
# Total magnetization = 0.01 μB per atom
data_MgCoCu4Ge2
_symmetry_space_group_name_H-M 'P 4/m m m'
_symmetry_Int_Tables_number 123
_symmetry_space_group_name_Hall '-P 4 2'
_cell_length_a 4.2000
_cell_length_b 4.2000
_cell_length_c 6.0980
_cell_angle_alpha 90.00
_cell_angle_beta 90.00
_cell_angle_gamma 90.00
loop_
_atom_site_label
_atom_site_type_symbol
_atom_site_fract_x
_atom_site_fract_y
_atom_site_fract_z
Mg1 Mg 0.0000 0.0000 0.0000
Co1 Co 0.5000 0.5000 0.5000
Cu1 Cu 0.0000 0.5000 0.2641
Ge1 Ge 0.0000 0.0000 0.5000
Ge2 Ge 0.5000 0.5000 0.0000

***

Record 9
# PBE CoCuGeMo, relaxed
# ΔE to the lowest computed polymorph = 0.00 eV per formula unit
# Calculated volume = 53.2 Å³/f.u.
# Total magnetization = 0.26 μB per atom
data_CoCuGeMo
_symmetry_space_group_name_H-M 'F -4 3 m'
_symmetry_Int_Tables_number 216
_symmetry_space_group_name_Hall 'F -4 2 3'
_cell_length_a 5.9711
_cell_length_b 5.9711
_cell_length_c 5.9711
_cell_angle_alpha 90.00
_cell_angle_beta 90.00
_cell_angle_gamma 90.00
loop_
_atom_site_label
_atom_site_type_symbol
_atom_site_fract_x
_atom_site_fract_y
_atom_site_fract_z
Co1 Co 0.0000 0.0000 0.0000
Cu1 Cu 0.2500 0.2500 0.7500
Ge1 Ge 0.0000 0.0000 0.5000
Mo1 Mo 0.2500 0.2500 0.2500

***

Record 10
# PBE NdCoCuGe2, relaxed
# Calculated volume = 86.4 Å³/f.u.
# Calculated total energy = -5.477 eV/atom
# Total magnetization = 0.17 μB per atom
data_NdCoCuGe2
_symmetry_space_group_name_H-M 'I -4 m 2'
_symmetry_Int_Tables_number 119
_symmetry_space_group_name_Hall 'I -4 -2'
_cell_length_a 4.1237
_cell_length_b 4.1237
_cell_length_c 10.1648
_cell_angle_alpha 90.00
_cell_angle_beta 90.00
_cell_angle_gamma 90.00
loop_
_atom_site_label
_atom_site_type_symbol
_atom_site_fract_x
_atom_site_fract_y
_atom_site_fract_z
Nd1 Nd 0.0000 0.0000 0.0000
Co1 Co 0.0000 0.5000 0.2500
Cu1 Cu 0.0000 0.5000 0.7500
Ge1 Ge 0.0000 0.0000 0.3726

***

Record 11
# PBE CoCuNiGe, relaxed
# ΔE to the lowest computed polymorph = 0.44 eV per formula unit
# Calculated volume = 46.9 Å³/f.u.
# Total magnetization = 0.13 μB per atom
data_CoCuNiGe
_symmetry_space_group_name_H-M 'F -4 3 m'
_symmetry_Int_Tables_number 216
_symmetry_space_group_name_Hall 'F -4 2 3'
_cell_length_a 5.7228
_cell_length_b 5.7228
_cell_length_c 5.7228
_cell_angle_alpha 90.00
_cell_angle_beta 90.00
_cell_angle_gamma 90.00
loop_
_atom_site_label
_atom_site_type_symbol
_atom_site_fract_x
_atom_site_fract_y
_atom_site_fract_z
Co1 Co 0.0000 0.0000 0.0000
Cu1 Cu 0.0000 0.0000 0.5000
Ni1 Ni 0.2500 0.2500 0.2500
Ge1 Ge 0.2500 0.2500 0.7500

***

Record 12
# PBE CoCuNiGe, relaxed
# ΔE to the lowest computed polymorph = 0.00 eV per formula unit
# Calculated volume = 46.3 Å³/f.u.
# Total magnetization = 0.11 μB per atom
data_CoCuNiGe
_symmetry_space_group_name_H-M 'F -4 3 m'
_symmetry_Int_Tables_number 216
_symmetry_space_group_name_Hall 'F -4 2 3'
_cell_length_a 5.7019
_cell_length_b 5.7019
_cell_length_c 5.7019
_cell_angle_alpha 90.00
_cell_angle_beta 90.00
_cell_angle_gamma 90.00
loop_
_atom_site_label
_atom_site_type_symbol
_atom_site_fract_x
_atom_site_fract_y
_atom_site_fract_z
Co1 Co 0.0000 0.0000 0.0000
Cu1 Cu 0.2500 0.2500 0.2500
Ni1 Ni 0.0000 0.0000 0.5000
Ge1 Ge 0.2500 0.2500 0.7500

***

The highest total magnetization belongs to which entry? CoCuGeMo